Material: Mg2BeAl2Pt5
Method: DFT, PBE-GGA
State: relaxed

The structure in CIF format:
```
data_Mg2BeAl2Pt5
_space_group_name_H-M_alt 'P 1'
_space_group_IT_number 1
_space_group_name_Hall 'P 1'
_cell_length_a 3.455
_cell_length_b 9.507
_cell_length_c 9.507
_cell_angle_alpha 90.00
_cell_angle_beta 90.00
_cell_angle_gamma 90.00
loop_
_atom_site_label
_atom_site_fract_x
_atom_site_fract_y
_atom_site_fract_z
Mg1 0.000 0.669 0.169
Mg2 0.000 0.331 0.831
Mg3 0.000 0.169 0.331
Mg4 0.000 0.831 0.669
Be1 0.000 0.000 0.000
Be2 0.000 0.500 0.500
Al1 0.000 0.132 0.632
Al2 0.000 0.868 0.368
Al3 0.000 0.632 0.868
Al4 0.000 0.368 0.132
Pt1 0.500 0.191 0.072
Pt2 0.500 0.809 0.928
Pt3 0.500 0.072 0.809
Pt4 0.500 0.691 0.428
Pt5 0.500 0.928 0.191
Pt6 0.500 0.309 0.572
Pt7 0.500 0.572 0.691
Pt8 0.500 0.428 0.309
Pt9 0.500 0.500 0.000
Pt10 0.500 0.000 0.500
```

Crystal system   tetragonal
SG   No. 127
ΔE_f   -0.7274 eV/atom
N(E_F)   3.2 states/eV/f.u.